(1)
{"formula": "KCeP4O12", "functional": "PBEsol", "state": "relaxed", "raw_formation_energy_ev_per_atom": -2.433, "de_polymorph_ev_per_atom": 0.000, "lattice_angstrom": [[7.426, 0.000, 0.000], [0.000, 13.311, 0.000], [-7.372, 0.000, 10.151]], "species": ["K", "K", "K", "K", "Ce", "Ce", "Ce", "Ce", "P", "P", "P", "P", "P", "P", "P", "P", "P", "P", "P", "P", "P", "P", "P", "P", "O", "O", "O", "O", "O", "O", "O", "O", "O", "O", "O", "O", "O", "O", "O", "O", "O", "O", "O", "O", "O", "O", "O", "O", "O", "O", "O", "O", "O", "O", "O", "O", "O", "O", "O", "O", "O", "O", "O", "O", "O", "O", "O", "O", "O", "O", "O", "O"], "frac_coords": [[0.066, 0.227, 0.069], [0.066, 0.273, 0.569], [0.934, 0.727, 0.431], [0.934, 0.773, 0.931], [0.470, 0.219, 0.978], [0.470, 0.281, 0.478], [0.530, 0.719, 0.522], [0.530, 0.781, 0.022], [0.013, 0.599, 0.247], [0.013, 0.901, 0.747], [0.100, 0.614, 0.740], [0.100, 0.886, 0.240], [0.357, 0.625, 0.201], [0.357, 0.875, 0.701], [0.459, 0.091, 0.704], [0.459, 0.409, 0.204], [0.541, 0.591, 0.796], [0.541, 0.909, 0.296], [0.643, 0.125, 0.299], [0.643, 0.375, 0.799], [0.900, 0.114, 0.760], [0.900, 0.386, 0.260], [0.987, 0.099, 0.253], [0.987, 0.401, 0.753], [0.068, 0.515, 0.799], [0.068, 0.985, 0.299], [0.108, 0.620, 0.162], [0.108, 0.880, 0.662], [0.110, 0.141, 0.890], [0.110, 0.359, 0.390], [0.191, 0.163, 0.308], [0.191, 0.337, 0.808], [0.193, 0.605, 0.392], [0.193, 0.895, 0.892], [0.202, 0.690, 0.848], [0.202, 0.810, 0.348], [0.273, 0.581, 0.708], [0.273, 0.919, 0.208], [0.347, 0.706, 0.114], [0.347, 0.794, 0.614], [0.376, 0.157, 0.588], [0.376, 0.343, 0.088], [0.379, 0.521, 0.145], [0.379, 0.979, 0.645], [0.394, 0.114, 0.794], [0.394, 0.386, 0.294], [0.475, 0.133, 0.153], [0.475, 0.367, 0.653], [0.525, 0.633, 0.347], [0.525, 0.867, 0.847], [0.606, 0.614, 0.706], [0.606, 0.886, 0.206], [0.621, 0.021, 0.355], [0.621, 0.479, 0.855], [0.624, 0.657, 0.912], [0.624, 0.843, 0.412], [0.653, 0.206, 0.386], [0.653, 0.294, 0.886], [0.727, 0.081, 0.792], [0.727, 0.419, 0.292], [0.798, 0.190, 0.652], [0.798, 0.310, 0.152], [0.807, 0.105, 0.108], [0.807, 0.395, 0.608], [0.809, 0.663, 0.192], [0.809, 0.837, 0.692], [0.890, 0.641, 0.610], [0.890, 0.859, 0.110], [0.892, 0.120, 0.338], [0.892, 0.380, 0.838], [0.932, 0.015, 0.701], [0.932, 0.485, 0.201]]}

---

(2)
{"formula": "MnBe2Rh", "functional": "PBEsol", "state": "relaxed", "delta_e_f_ev_per_atom": -0.374, "de_polymorph_ev_per_atom": 0.000, "lattice_angstrom": [[0.000, 2.729, 2.729], [2.729, 0.000, 2.729], [2.729, 2.729, 0.000]], "species": ["Mn", "Be", "Be", "Rh"], "frac_coords": [[0.000, 0.000, 0.000], [0.250, 0.250, 0.250], [0.750, 0.750, 0.750], [0.500, 0.500, 0.500]]}

---

(3)
{"formula": "Cs9Tl4O3", "functional": "PBEsol", "state": "relaxed", "raw_formation_energy_ev_per_atom": -0.637, "lattice_angstrom": [[-6.654, 6.654, 6.654], [6.654, -6.654, 6.654], [6.654, 6.654, -6.654]], "species": ["Cs", "Cs", "Cs", "Cs", "Cs", "Cs", "Cs", "Cs", "Cs", "Cs", "Cs", "Cs", "Cs", "Cs", "Cs", "Cs", "Cs", "Cs", "Tl", "Tl", "Tl", "Tl", "Tl", "Tl", "Tl", "Tl", "O", "O", "O", "O", "O", "O"], "frac_coords": [[0.000, 0.364, 0.364], [0.000, 0.636, 0.636], [0.044, 0.280, 0.667], [0.237, 0.956, 0.624], [0.280, 0.667, 0.044], [0.333, 0.613, 0.376], [0.364, 0.000, 0.364], [0.364, 0.364, 0.000], [0.376, 0.333, 0.613], [0.387, 0.720, 0.763], [0.613, 0.376, 0.333], [0.624, 0.237, 0.956], [0.636, 0.000, 0.636], [0.636, 0.636, 0.000], [0.667, 0.044, 0.280], [0.720, 0.763, 0.387], [0.763, 0.387, 0.720], [0.956, 0.624, 0.237], [0.000, 0.000, 0.275], [0.000, 0.000, 0.824], [0.000, 0.275, 0.000], [0.000, 0.824, 0.000], [0.176, 0.176, 0.176], [0.275, 0.000, 0.000], [0.725, 0.725, 0.725], [0.824, 0.000, 0.000], [0.169, 0.669, 0.500], [0.331, 0.500, 0.831], [0.500, 0.169, 0.669], [0.500, 0.831, 0.331], [0.669, 0.500, 0.169], [0.831, 0.331, 0.500]]}

---

(4)
{"formula": "LaFeSe2", "functional": "PBEsol", "state": "relaxed", "raw_formation_energy_ev_per_atom": -0.968, "de_polymorph_ev_per_atom": 0.000, "lattice_angstrom": [[4.361, 0.000, 0.000], [0.000, 1.988, 5.491], [0.000, -1.988, 5.491]], "species": ["La", "Fe", "Se", "Se"], "frac_coords": [[0.000, 0.000, 0.000], [0.500, 0.644, 0.644], [0.000, 0.718, 0.718], [0.500, 0.428, 0.428]]}

---

(5)
{"formula": "TePN2", "functional": "PBEsol", "state": "relaxed", "raw_formation_energy_ev_per_atom": 0.902, "lattice_angstrom": [[1.602, 0.925, 6.414], [-1.602, 0.925, 6.414], [0.000, -1.850, 6.414]], "species": ["Te", "P", "N", "N"], "frac_coords": [[0.000, 0.000, 0.000], [0.500, 0.500, 0.500], [0.414, 0.414, 0.414], [0.586, 0.586, 0.586]]}

---

(6)
{"formula": "LaEr3S6", "functional": "PBEsol", "state": "relaxed", "raw_formation_energy_ev_per_atom": -2.166, "lattice_angstrom": [[10.882, 0.000, 0.000], [0.000, 3.932, 0.000], [-3.626, 0.000, 10.575]], "species": ["La", "La", "Er", "Er", "Er", "Er", "Er", "Er", "S", "S", "S", "S", "S", "S", "S", "S", "S", "S", "S", "S"], "frac_coords": [[0.052, 0.250, 0.196], [0.948, 0.750, 0.804], [0.160, 0.250, 0.588], [0.321, 0.750, 0.999], [0.446, 0.250, 0.333], [0.554, 0.750, 0.667], [0.679, 0.250, 0.001], [0.840, 0.750, 0.412], [0.084, 0.750, 0.408], [0.122, 0.250, 0.964], [0.198, 0.750, 0.749], [0.270, 0.750, 0.230], [0.392, 0.250, 0.555], [0.481, 0.250, 0.112], [0.519, 0.750, 0.888], [0.608, 0.750, 0.445], [0.730, 0.250, 0.770], [0.802, 0.250, 0.251], [0.878, 0.750, 0.036], [0.916, 0.250, 0.592]]}